Entry 1
The following is a DFT calculation (PBE) of a relaxed structure of Li4Zn2Ag5. Values from VASP.

```
&SYSTEM
  ibrav = 0, nat = 11, ntyp = 3
/
ATOMIC_SPECIES
Ag 107.87 Ag.upf
Li 6.94 Li.upf
Zn 65.41 Zn.upf
ATOMIC_POSITIONS crystal
Ag 0.779 0.908 0.559
Ag 0.500 0.000 0.000
Ag 0.221 0.092 0.441
Ag 0.862 0.551 0.723
Ag 0.138 0.449 0.277
Li 0.398 0.347 0.795
Li 0.602 0.653 0.205
Li 0.956 0.170 0.912
Li 0.044 0.830 0.088
Zn 0.321 0.732 0.643
Zn 0.679 0.268 0.357
CELL_PARAMETERS angstrom
-1.588 3.195 -2.512
-4.606 0.261 3.244
9.189 3.081 1.898
```

---

Entry 2
The following is a DFT calculation (PBE) of a relaxed structure of Li4Zn2Ag5. Values from VASP.

```
&SYSTEM
  ibrav = 0, nat = 22, ntyp = 3
/
ATOMIC_SPECIES
Li 6.94 Li.upf
Ag 107.87 Ag.upf
Zn 65.41 Zn.upf
ATOMIC_POSITIONS crystal
Li 0.500 0.404 0.852
Li 0.500 0.904 0.648
Li 0.500 0.214 0.067
Li 0.500 0.286 0.567
Li 0.500 0.096 0.352
Li 0.500 0.786 0.933
Li 0.500 0.714 0.433
Li 0.500 0.596 0.148
Ag 0.000 0.220 0.707
Ag 0.000 0.130 0.934
Ag 0.000 0.870 0.066
Ag 0.000 0.630 0.566
Ag 0.000 0.780 0.293
Ag 0.000 0.280 0.207
Ag 0.000 0.500 0.000
Ag 0.000 0.370 0.434
Ag 0.000 0.000 0.500
Ag 0.000 0.720 0.793
Zn 0.500 0.977 0.194
Zn 0.500 0.477 0.306
Zn 0.500 0.523 0.694
Zn 0.500 0.023 0.806
CELL_PARAMETERS angstrom
-1.585 -2.214 -1.164
0.193 -3.538 6.469
-14.072 7.651 4.605
```

---

Which one is most stable, and which one is least stable? entry 2 is the most stable of them, while entry 1 is the least stable.

---

Entry 1
The following is a DFT calculation (PBE) of a relaxed structure of Li2Zn5Ag3. Values from VASP.

```
&SYSTEM
  ibrav = 0, nat = 20, ntyp = 3
/
ATOMIC_SPECIES
Ag 107.87 Ag.upf
Zn 65.41 Zn.upf
Li 6.94 Li.upf
ATOMIC_POSITIONS crystal
Ag 0.883 0.216 0.523
Ag 0.250 0.048 0.952
Ag 0.750 0.952 0.048
Ag 0.383 0.523 0.216
Ag 0.117 0.784 0.477
Ag 0.617 0.477 0.784
Zn 0.144 0.976 0.274
Zn 0.502 0.785 0.711
Zn 0.750 0.535 0.465
Zn 0.856 0.024 0.726
Zn 0.644 0.274 0.976
Zn 0.002 0.711 0.785
Zn 0.356 0.726 0.024
Zn 0.250 0.465 0.535
Zn 0.498 0.215 0.289
Zn 0.998 0.289 0.215
Li 0.124 0.374 0.874
Li 0.876 0.626 0.126
Li 0.376 0.126 0.626
Li 0.624 0.874 0.374
CELL_PARAMETERS angstrom
5.136 0.034 -0.194
-0.388 7.708 -2.532
0.066 -0.018 8.123
```

---

Entry 2
The following is a DFT calculation (PBE) of a relaxed structure of Li2Zn5Ag3. Values from VASP.

```
&SYSTEM
  ibrav = 0, nat = 20, ntyp = 3
/
ATOMIC_SPECIES
Zn 65.41 Zn.upf
Ag 107.87 Ag.upf
Li 6.94 Li.upf
ATOMIC_POSITIONS crystal
Zn 0.750 0.500 0.500
Zn 0.658 0.300 0.385
Zn 0.842 0.615 0.700
Zn 0.342 0.700 0.615
Zn 0.566 0.184 0.184
Zn 0.434 0.816 0.816
Zn 0.066 0.184 0.184
Zn 0.250 0.500 0.500
Zn 0.158 0.385 0.300
Zn 0.934 0.816 0.816
Ag 0.250 0.000 0.000
Ag 0.796 0.940 0.469
Ag 0.704 0.531 0.060
Ag 0.204 0.060 0.531
Ag 0.750 0.000 0.000
Ag 0.296 0.469 0.940
Li 0.074 0.701 0.151
Li 0.926 0.299 0.849
Li 0.574 0.151 0.701
Li 0.426 0.849 0.299
CELL_PARAMETERS angstrom
-3.467 0.721 3.762
-3.117 -7.989 2.207
3.457 -3.437 7.392
```

---

Which one is most stable, and which one is least stable? entry 1 is the most stable of them, while entry 2 is the least stable.

---

Entry 1
The following is a DFT calculation (PBE) of a relaxed structure of LiZn3Ag6. Values from VASP.

```
&SYSTEM
  ibrav = 0, nat = 20, ntyp = 3
/
ATOMIC_SPECIES
Ag 107.87 Ag.upf
Zn 65.41 Zn.upf
Li 6.94 Li.upf
ATOMIC_POSITIONS crystal
Ag 0.750 0.852 0.780
Ag 0.750 0.757 0.479
Ag 0.250 0.630 0.714
Ag 0.750 0.548 0.895
Ag 0.250 0.243 0.521
Ag 0.250 0.148 0.220
Ag 0.250 0.452 0.105
Ag 0.250 0.838 0.316
Ag 0.750 0.162 0.684
Ag 0.750 0.953 0.088
Ag 0.750 0.370 0.286
Ag 0.250 0.047 0.912
Zn 0.250 0.540 0.415
Zn 0.250 0.333 0.812
Zn 0.750 0.667 0.188
Zn 0.750 0.460 0.585
Zn 0.750 0.246 0.987
Zn 0.250 0.754 0.013
Li 0.250 0.936 0.613
Li 0.750 0.064 0.387
CELL_PARAMETERS angstrom
-1.857 -4.067 1.109
-2.629 -0.761 -7.190
8.923 -3.987 0.317
```

---

Entry 2
The following is a DFT calculation (PBE) of a relaxed structure of LiZn3Ag6. Values from VASP.

```
&SYSTEM
  ibrav = 0, nat = 20, ntyp = 3
/
ATOMIC_SPECIES
Ag 107.87 Ag.upf
Zn 65.41 Zn.upf
Li 6.94 Li.upf
ATOMIC_POSITIONS crystal
Ag 0.376 0.925 0.075
Ag 0.081 0.694 0.306
Ag 0.298 0.559 0.972
Ag 0.798 0.441 0.028
Ag 0.102 0.748 0.696
Ag 0.602 0.252 0.304
Ag 0.798 0.972 0.559
Ag 0.602 0.696 0.748
Ag 0.581 0.306 0.694
Ag 0.298 0.028 0.441
Ag 0.102 0.304 0.252
Ag 0.876 0.075 0.925
Zn 0.902 0.754 0.002
Zn 0.844 0.501 0.499
Zn 0.902 0.998 0.246
Zn 0.402 0.002 0.754
Zn 0.344 0.499 0.501
Zn 0.402 0.246 0.998
Li 0.580 0.710 0.290
Li 0.080 0.290 0.710
CELL_PARAMETERS angstrom
-1.597 5.101 -1.742
-2.348 1.782 7.371
7.549 2.446 0.242
```

---

Which one is most stable, and which one is least stable? entry 1 is the most stable of them, while entry 2 is the least stable.

---

Entry 1
The following is a DFT calculation (PBE) of a relaxed structure of LiZn2Ag2. Values from VASP.

```
&SYSTEM
  ibrav = 0, nat = 5, ntyp = 3
/
ATOMIC_SPECIES
Li 6.94 Li.upf
Zn 65.41 Zn.upf
Ag 107.87 Ag.upf
ATOMIC_POSITIONS crystal
Li 0.000 0.000 0.000
Zn 0.400 0.400 0.201
Zn 0.600 0.600 0.799
Ag 0.250 0.750 0.500
Ag 0.750 0.250 0.500
CELL_PARAMETERS angstrom
-2.740 -2.030 -2.038
-1.163 -1.793 3.349
-5.947 2.502 1.631
```

---

Entry 2
The following is a DFT calculation (PBE) of a relaxed structure of LiZn2Ag2. Values from VASP.

```
&SYSTEM
  ibrav = 0, nat = 10, ntyp = 3
/
ATOMIC_SPECIES
Zn 65.41 Zn.upf
Ag 107.87 Ag.upf
Li 6.94 Li.upf
ATOMIC_POSITIONS crystal
Zn 0.554 0.741 0.152
Zn 0.345 0.755 0.554
Zn 0.655 0.245 0.446
Zn 0.446 0.259 0.848
Ag 0.149 0.756 0.947
Ag 0.051 0.249 0.649
Ag 0.851 0.244 0.053
Ag 0.949 0.751 0.351
Li 0.751 0.746 0.752
Li 0.249 0.254 0.248
CELL_PARAMETERS angstrom
3.710 0.000 0.821
1.565 4.411 1.721
-0.278 1.421 10.049
```

---

Which one is most stable, and which one is least stable? entry 2 is the most stable of them, while entry 1 is the least stable.

---

Entry 1
The following is a DFT calculation (PBE) of a relaxed structure of Li3ZnAg6. Values from VASP.

```
&SYSTEM
  ibrav = 0, nat = 20, ntyp = 3
/
ATOMIC_SPECIES
Li 6.94 Li.upf
Ag 107.87 Ag.upf
Zn 65.41 Zn.upf
ATOMIC_POSITIONS crystal
Li 0.205 0.455 0.095
Li 0.455 0.095 0.205
Li 0.905 0.795 0.545
Li 0.545 0.905 0.795
Li 0.795 0.545 0.905
Li 0.095 0.205 0.455
Ag 0.883 0.161 0.731
Ag 0.161 0.731 0.883
Ag 0.839 0.269 0.117
Ag 0.731 0.883 0.161
Ag 0.117 0.839 0.269
Ag 0.182 0.606 0.489
Ag 0.489 0.182 0.606
Ag 0.269 0.117 0.839
Ag 0.511 0.818 0.394
Ag 0.818 0.394 0.511
Ag 0.606 0.489 0.182
Ag 0.394 0.511 0.818
Zn 0.500 0.500 0.500
Zn 0.000 0.000 0.000
CELL_PARAMETERS angstrom
7.300 -1.137 -1.163
-1.295 7.273 -1.163
-1.295 -1.324 7.246
```

---

Entry 2
The following is a DFT calculation (PBE) of a relaxed structure of Li3ZnAg6. Values from VASP.

```
&SYSTEM
  ibrav = 0, nat = 20, ntyp = 3
/
ATOMIC_SPECIES
Ag 107.87 Ag.upf
Li 6.94 Li.upf
Zn 65.41 Zn.upf
ATOMIC_POSITIONS crystal
Ag 0.250 0.470 0.073
Ag 0.250 0.072 0.866
Ag 0.250 0.859 0.282
Ag 0.750 0.335 0.332
Ag 0.750 0.928 0.134
Ag 0.750 0.530 0.927
Ag 0.250 0.665 0.668
Ag 0.750 0.836 0.832
Ag 0.250 0.263 0.480
Ag 0.250 0.164 0.168
Ag 0.750 0.141 0.718
Ag 0.750 0.737 0.520
Li 0.250 0.774 0.977
Li 0.250 0.554 0.373
Li 0.750 0.226 0.023
Li 0.750 0.446 0.627
Li 0.250 0.369 0.773
Li 0.750 0.631 0.227
Zn 0.250 0.967 0.573
Zn 0.750 0.033 0.427
CELL_PARAMETERS angstrom
-3.758 -2.705 -0.603
2.101 -4.236 5.908
-6.008 7.752 2.663
```

---

Which one is most stable, and which one is least stable? entry 2 is the most stable of them, while entry 1 is the least stable.

---

Entry 1
The following is a DFT calculation (PBE) of a relaxed structure of Li2Zn2Ag. Values from VASP.

```
&SYSTEM
  ibrav = 0, nat = 10, ntyp = 3
/
ATOMIC_SPECIES
Zn 65.41 Zn.upf
Li 6.94 Li.upf
Ag 107.87 Ag.upf
ATOMIC_POSITIONS crystal
Zn 0.128 0.372 0.000
Zn 0.372 0.872 0.000
Zn 0.628 0.128 0.000
Zn 0.872 0.628 0.000
Li 0.830 0.330 0.500
Li 0.330 0.170 0.500
Li 0.170 0.670 0.500
Li 0.670 0.830 0.500
Ag 0.500 0.500 0.000
Ag 0.000 0.000 0.000
CELL_PARAMETERS angstrom
-0.079 -2.661 6.624
1.259 -6.526 -2.607
2.988 0.485 0.230
```

---

Entry 2
The following is a DFT calculation (PBE) of a relaxed structure of Li2Zn2Ag. Values from VASP.

```
&SYSTEM
  ibrav = 0, nat = 10, ntyp = 3
/
ATOMIC_SPECIES
Li 6.94 Li.upf
Zn 65.41 Zn.upf
Ag 107.87 Ag.upf
ATOMIC_POSITIONS crystal
Li 0.444 0.761 0.853
Li 0.942 0.261 0.353
Li 0.556 0.239 0.147
Li 0.058 0.739 0.647
Zn 0.144 0.259 0.952
Zn 0.355 0.241 0.548
Zn 0.856 0.741 0.048
Zn 0.645 0.759 0.452
Ag 0.749 0.250 0.750
Ag 0.251 0.750 0.250
CELL_PARAMETERS angstrom
4.167 0.000 1.259
1.735 4.464 1.783
-0.250 0.776 8.354
```

---

Entry 3
The following is a DFT calculation (PBE) of a relaxed structure of Li2Zn2Ag. Values from VASP.

```
&SYSTEM
  ibrav = 0, nat = 5, ntyp = 3
/
ATOMIC_SPECIES
Zn 65.41 Zn.upf
Li 6.94 Li.upf
Ag 107.87 Ag.upf
ATOMIC_POSITIONS crystal
Zn 0.599 0.599 0.802
Zn 0.401 0.401 0.198
Li 0.750 0.250 0.500
Li 0.250 0.750 0.500
Ag 0.000 0.000 0.000
CELL_PARAMETERS angstrom
3.631 0.000 0.000
0.000 3.631 0.000
1.816 1.816 6.382
```

---

Which one is most stable, and which one is least stable? entry 2 is the most stable of them, while entry 3 is the least stable.

---

Entry 1
The following is a DFT calculation (PBE) of a relaxed structure of Li2Zn2Ag. Values from VASP.

```
&SYSTEM
  ibrav = 0, nat = 5, ntyp = 3
/
ATOMIC_SPECIES
Li 6.94 Li.upf
Zn 65.41 Zn.upf
Ag 107.87 Ag.upf
ATOMIC_POSITIONS crystal
Li 0.594 0.094 0.201
Li 0.406 0.906 0.799
Zn 0.806 0.306 0.593
Zn 0.194 0.694 0.407
Ag 0.000 0.500 0.000
CELL_PARAMETERS angstrom
-3.639 1.589 -2.797
-4.777 -0.846 0.225
-4.934 3.782 1.188
```

---

Entry 2
The following is a DFT calculation (PBE) of a relaxed structure of Li2Zn2Ag. Values from VASP.

```
&SYSTEM
  ibrav = 0, nat = 10, ntyp = 3
/
ATOMIC_SPECIES
Li 6.94 Li.upf
Zn 65.41 Zn.upf
Ag 107.87 Ag.upf
ATOMIC_POSITIONS crystal
Li 0.641 0.141 0.000
Li 0.359 0.859 0.000
Li 0.859 0.641 0.000
Li 0.141 0.359 0.000
Zn 0.152 0.652 0.500
Zn 0.848 0.348 0.500
Zn 0.348 0.152 0.500
Zn 0.652 0.848 0.500
Ag 0.500 0.500 0.000
Ag 0.000 0.000 0.000
CELL_PARAMETERS angstrom
-2.091 -0.986 -6.924
-2.928 -6.439 1.802
-2.480 1.286 0.566
```

---

Which one is most stable, and which one is least stable? entry 1 is the most stable of them, while entry 2 is the least stable.

---

Entry 1
The following is a DFT calculation (PBE) of a relaxed structure of Li2Zn3Ag2. Values from VASP.

```
&SYSTEM
  ibrav = 0, nat = 7, ntyp = 3
/
ATOMIC_SPECIES
Li 6.94 Li.upf
Ag 107.87 Ag.upf
Zn 65.41 Zn.upf
ATOMIC_POSITIONS crystal
Li 0.214 0.428 0.159
Li 0.786 0.572 0.841
Ag 0.920 0.839 0.277
Ag 0.080 0.161 0.723
Zn 0.500 0.000 0.000
Zn 0.636 0.272 0.420
Zn 0.364 0.728 0.580
CELL_PARAMETERS angstrom
4.429 0.000 0.000
-2.214 4.677 -0.417
0.000 0.955 5.160
```

---

Entry 2
The following is a DFT calculation (PBE) of a relaxed structure of Li2Zn3Ag2. Values from VASP.

```
&SYSTEM
  ibrav = 0, nat = 7, ntyp = 3
/
ATOMIC_SPECIES
Ag 107.87 Ag.upf
Zn 65.41 Zn.upf
Li 6.94 Li.upf
ATOMIC_POSITIONS crystal
Ag 0.500 0.296 0.591
Ag 0.500 0.704 0.409
Zn 0.000 0.000 0.000
Zn 0.500 0.568 0.135
Zn 0.500 0.432 0.865
Li 0.000 0.145 0.289
Li 0.000 0.855 0.711
CELL_PARAMETERS angstrom
2.752 0.000 0.000
0.000 4.225 0.000
0.000 -2.112 9.737
```

---

Which one is most stable, and which one is least stable? entry 1 is the most stable of them, while entry 2 is the least stable.

---

Entry 1
The following is a DFT calculation (PBE) of a relaxed structure of Li8Zn6Ag. Values from VASP.

```
&SYSTEM
  ibrav = 0, nat = 15, ntyp = 3
/
ATOMIC_SPECIES
Li 6.94 Li.upf
Zn 65.41 Zn.upf
Ag 107.87 Ag.upf
ATOMIC_POSITIONS crystal
Li 0.415 0.415 0.754
Li 0.341 0.178 0.616
Li 0.585 0.585 0.246
Li 0.135 0.659 0.384
Li 0.822 0.135 0.384
Li 0.659 0.822 0.384
Li 0.865 0.341 0.616
Li 0.178 0.865 0.616
Zn 0.522 0.280 0.137
Zn 0.061 0.522 0.137
Zn 0.720 0.939 0.863
Zn 0.939 0.478 0.863
Zn 0.478 0.720 0.863
Zn 0.280 0.061 0.137
Ag 0.000 0.000 0.000
CELL_PARAMETERS angstrom
-4.586 0.888 -5.017
-0.889 -4.878 -4.734
-5.907 -3.786 0.046
```

---

Entry 2
The following is a DFT calculation (PBE) of a relaxed structure of Li8Zn6Ag. Values from VASP.

```
&SYSTEM
  ibrav = 0, nat = 15, ntyp = 3
/
ATOMIC_SPECIES
Zn 65.41 Zn.upf
Li 6.94 Li.upf
Ag 107.87 Ag.upf
ATOMIC_POSITIONS crystal
Zn 0.661 0.335 0.002
Zn 0.335 0.002 0.002
Zn 0.339 0.665 0.998
Zn 0.998 0.339 0.998
Zn 0.002 0.661 0.002
Zn 0.665 0.998 0.998
Li 0.613 0.613 0.161
Li 0.283 0.298 0.496
Li 0.387 0.387 0.839
Li 0.702 0.076 0.504
Li 0.076 0.717 0.504
Li 0.298 0.924 0.496
Li 0.924 0.283 0.496
Li 0.717 0.702 0.504
Ag 0.000 0.000 0.000
CELL_PARAMETERS angstrom
7.934 0.000 0.000
3.967 6.871 0.000
3.967 2.290 4.659
```

---

Which one is most stable, and which one is least stable? entry 2 is the most stable of them, while entry 1 is the least stable.